The following is a GGA-PBE calculation of crystalline Tc3PdSe at its relaxed geometry, from the Alexandria database.

Crystal system: cubic
V in Å³/atom: 18.25
Uncorrected energy in eV/atom: -6.805

abc: 4.502 4.502 4.502
angles: 90.00 90.00 90.00
Fractional positions:
Tc1 0.000 0.000 0.500
Tc2 0.000 0.500 0.000
Tc3 0.500 0.000 0.000
Pd1 0.500 0.500 0.500
Se1 0.000 0.000 0.000